The following is a GGA-PBE calculation of crystalline HfNbSb2I at its relaxed geometry, from Alexandria.

POSCAR file:
```
HfNbSb2I
1.0
5.356 0.000 0.000
0.000 5.356 0.000
0.000 0.000 5.448
Hf Nb Sb I
1 1 2 1
Cartesian
0.000 0.000 0.000
2.678 2.678 2.724
0.000 2.678 2.724
2.678 0.000 2.724
2.678 2.678 0.000
```

Results
Final energy   -5.107 eV/atom

---

The following is a GGA-PBE calculation of crystalline Zr2AgPd at its relaxed geometry, from Alexandria.

POSCAR file:
```
Zr2AgPd
1.0
-3.819 3.819 2.842
3.819 -3.819 2.842
3.819 3.819 -2.842
Zr Ag Pd
4 2 2
Cartesian
5.728 1.752 -0.711
1.752 1.909 0.711
-1.909 2.067 2.132
2.067 1.909 3.553
3.819 0.000 1.421
0.000 0.000 2.842
0.000 0.000 0.000
0.000 3.819 1.421
```

Results
E_form   18 meV per atom
Final energy   -6.268 eV/atom

---

Number 1: energy relative to the lowest polymorph listed for this composition 0.0 meV/atom, calculated density 6.82 g cm⁻³, spin magnetization 1.27 μB per formula unit. Number 2: energy relative to the lowest polymorph listed for this composition 293.2 meV/atom, calculated density 7.95 g cm⁻³, spin magnetization 0.00 μB per formula unit.